Entry from Alexandria via LeMat-Bulk: a relaxed K2CdGeP crystal (PBEsol).

Cell and atoms, written as POSCAR:
```
K2CdGeP
1.0
4.721 0.000 0.000
0.000 6.267 0.000
0.000 0.000 6.267
K P Cd Ge
2 1 1 1
Cartesian
0.000 0.000 3.133
0.000 3.133 0.000
0.000 0.000 0.000
2.360 0.000 0.000
2.360 3.133 3.133
```

Its formation energy is 0.333 eV/atom. The value obtained for the total magnetic moment is 0.522 μB/atom.